# 1
! CaAg2 | Alexandria via LeMat-Bulk | meta-GGA SCAN | single point on PBEsol structure; values from VASP
&SYSTEM
  ibrav = 0, nat = 6, ntyp = 2
/
ATOMIC_SPECIES
Ag 107.87 Ag.upf
Ca 40.08 Ca.upf
CELL_PARAMETERS angstrom
4.0394 0.0000 0.0000
0.0000 4.0394 0.0000
-2.0197 -2.0197 8.7090
ATOMIC_POSITIONS crystal
Ag 0.4236 0.4236 0.8472
Ag 0.8264 0.3264 0.6528
Ag 0.5764 0.5764 0.1528
Ca 0.0000 0.0000 0.0000
Ca 0.2500 0.7500 0.5000
Ag 0.6736 0.1736 0.3472
! SG: No. 141
! ρ, g cm⁻³: 5.98
! VASP energy, eV for the cell shown: -146.09
! Calculated volume, Å³/atom: 23.7



# 2
! CaAg3 | Alexandria via LeMat-Bulk | meta-GGA SCAN | single point on PBEsol structure; values from VASP
&SYSTEM
  ibrav = 0, nat = 8, ntyp = 2
/
ATOMIC_SPECIES
Ag 107.87 Ag.upf
Ca 40.08 Ca.upf
CELL_PARAMETERS angstrom
-0.5104 2.6549 -3.3542
-4.1162 -1.2244 -0.3428
0.0585 5.4109 7.0405
ATOMIC_POSITIONS crystal
Ag 0.5000 0.0000 0.0000
Ag 0.7500 0.2500 0.5000
Ag 0.8763 0.8763 0.7526
Ca 0.6263 0.6263 0.2526
Ag 0.1237 0.1237 0.2474
Ag 0.2500 0.7500 0.5000
Ca 0.3737 0.3737 0.7474
Ag 0.0000 0.5000 0.0000
! SG: No. 139
! ρ, g cm⁻³: 7.80
! VASP energy, eV for the cell shown: -208.74
! Calculated volume, Å³/atom: 19.4



# 3
! Ca2Ag | Alexandria via LeMat-Bulk | meta-GGA SCAN | single point on PBEsol structure; values from VASP
&SYSTEM
  ibrav = 0, nat = 6, ntyp = 2
/
ATOMIC_SPECIES
Ca 40.08 Ca.upf
Ag 107.87 Ag.upf
CELL_PARAMETERS angstrom
-2.7609 -0.1411 -2.7308
-1.0958 -5.4445 4.1539
-4.2389 3.9666 4.0808
ATOMIC_POSITIONS crystal
Ca 0.7859 0.5718 0.9761
Ca 0.4824 0.9648 0.2869
Ca 0.5176 0.0352 0.7869
Ag 0.1164 0.2328 0.0677
Ca 0.2141 0.4282 0.4761
Ag 0.8836 0.7672 0.5677
! SG: No. 36
! ρ, g cm⁻³: 3.40
! VASP energy, eV for the cell shown: -102.75
! Calculated volume, Å³/atom: 30.6



ρ of number 3 (Ca2Ag)?
3.40 g cm⁻³



Which of these has the highest ρ?
CaAg3



What is the VASP energy in the third record?
-102.75 eV for the cell shown



VASP energy of number 1 (CaAg2)?
-146.09 eV for the cell shown